(1)
This record from Alexandria describes a crystal of TiNi3H relaxed with PBEsol. The functional is SCAN.

Values from the calculation:
DOS(E_F): 0.979 states/eV/atom
final energy: -13.84 eV per atom
magnetic moment: 0.95 μB per formula unit
crystal system: cubic
SG: Pm-3m (221)

a b c (Å): 3.6264 3.6264 3.6264
angles (deg): 90.00 90.00 90.00
Each line ends with the local moment (μB).
Sites, in units of the cell vectors:
Ni (0.0000, 0.5000, 0.0000)  0.16
Ni (0.0000, 0.0000, 0.5000)  0.16
Ni (0.5000, 0.0000, 0.0000)  0.16
H (0.0000, 0.0000, 0.0000)  0.00
Ti (0.5000, 0.5000, 0.5000)  0.37

(2)
This record from Alexandria describes a crystal of MgTeO2 relaxed with PBEsol. The functional is SCAN.

Values from the calculation:
DOS(E_F): 0.259 states/eV/atom
final energy: -14.56 eV per atom
ΔE_f (raw): -0.884 eV per atom
magnetic moment: 0.00 μB per formula unit
crystal system: trigonal
SG: R-3m (166)

a b c (Å): 3.8994 3.8994 5.6228
angles (deg): 69.71 69.71 60.00
Sites, in units of the cell vectors:
Mg (0.0000, 0.0000, 0.0000)
Te (0.5000, 0.5000, 0.5000)
O (0.8782, 0.8782, 0.3655)
O (0.1218, 0.1218, 0.6345)

(3)
This record from Alexandria describes a crystal of CdAg4 relaxed with PBEsol. The functional is SCAN.

Values from the calculation:
DOS(E_F): 0.252 states/eV/atom
final energy: -31.18 eV per atom
magnetic moment: 0.00 μB per formula unit
polymorph energy (0 for the lowest one): 34 meV per atom
crystal system: trigonal
formation energy from the elements: -6 meV/atom
SG: R-3m (166)

a b c (Å): 2.9121 2.9121 11.7852
angles (deg): 82.90 82.90 60.00
Sites, in units of the cell vectors:
Ag (0.9018, 0.9018, 0.2947)
Ag (0.3006, 0.3006, 0.0982)
Ag (0.6994, 0.6994, 0.9018)
Ag (0.0982, 0.0982, 0.7053)
Cd (0.5000, 0.5000, 0.5000)

(4)
This record from Alexandria describes a crystal of CaInPb2 relaxed with PBEsol. The functional is SCAN.

Values from the calculation:
DOS(E_F): 0.450 states/eV/atom
final energy: -49.05 eV per atom
magnetic moment: 0.00 μB per formula unit
crystal system: tetragonal
formation energy from the elements: -392 meV/atom
SG: I-4m2 (119)

a b c (Å): 4.6779 4.6779 5.9991
angles (deg): 112.95 112.95 90.00
Sites, in units of the cell vectors:
Pb (0.0000, 0.0000, 0.0000)
Pb (0.7500, 0.2500, 0.5000)
Ca (0.5000, 0.5000, 0.0000)
In (0.2500, 0.7500, 0.5000)

(5)
This record from Alexandria describes a crystal of CoCu2Os relaxed with PBEsol. The functional is SCAN.

Values from the calculation:
DOS(E_F): 0.465 states/eV/atom
final energy: -29.61 eV per atom
magnetic moment: 2.41 μB per formula unit
polymorph energy (0 for the lowest one): 79 meV per atom
crystal system: orthorhombic
formation energy from the elements: 286 meV/atom
SG: Cmmm (65)

a b c (Å): 2.4808 4.5903 4.5903
angles (deg): 113.14 90.00 90.00
Each line ends with the local moment (μB).
Sites, in units of the cell vectors:
Co (0.5000, 0.5000, 0.5000)  2.06
Cu (0.0000, 0.5000, 0.0000)  0.06
Cu (0.0000, 0.0000, 0.5000)  0.06
Os (0.5000, 0.0000, 0.0000)  0.31

(6)
This record from Alexandria describes a crystal of Ba3Ta2S8 relaxed with PBEsol. The functional is SCAN.

Values from the calculation:
final energy: -27.05 eV per atom
ΔE_f (raw): -1.753 eV per atom
magnetic moment: 0.00 μB per formula unit
crystal system: monoclinic
SG: P2/m (10)

a b c (Å): 6.7963 11.8319 12.5333
angles (deg): 108.80 90.00 90.00
Sites, in units of the cell vectors:
Ba (0.0000, 0.5000, 0.0000)
Ba (0.0000, 0.0453, 0.6911)
Ba (0.0000, 0.9547, 0.3089)
Ba (0.5000, 0.2793, 0.3444)
Ba (0.5000, 0.7207, 0.6556)
Ba (0.0000, 0.4064, 0.6357)
Ba (0.5000, 0.8166, 0.0359)
Ba (0.5000, 0.1834, 0.9641)
Ba (0.0000, 0.5936, 0.3643)
Ta (0.0000, 0.0000, 0.0000)
Ta (0.5000, 0.0000, 0.5000)
Ta (0.0000, 0.2697, 0.1727)
Ta (0.0000, 0.7303, 0.8273)
Ta (0.5000, 0.2656, 0.6754)
Ta (0.5000, 0.7344, 0.3246)
S (0.2462, 0.3123, 0.8027)
S (0.2462, 0.6877, 0.1973)
S (0.7538, 0.6877, 0.1973)
S (0.7538, 0.3123, 0.8027)
S (0.2596, 0.3867, 0.1551)
S (0.2596, 0.6133, 0.8449)
S (0.7404, 0.6133, 0.8449)
S (0.7404, 0.3867, 0.1551)
S (0.2518, 0.1544, 0.5161)
S (0.2518, 0.8456, 0.4839)
S (0.7482, 0.8456, 0.4839)
S (0.7482, 0.1544, 0.5161)
S (0.2441, 0.0906, 0.1462)
S (0.2441, 0.9094, 0.8538)
S (0.7559, 0.9094, 0.8538)
S (0.5000, 0.0541, 0.7015)
S (0.5000, 0.9459, 0.2985)
S (0.0000, 0.3219, 0.3692)
S (0.0000, 0.6781, 0.6308)
S (0.5000, 0.4257, 0.6060)
S (0.5000, 0.5743, 0.3940)
S (0.0000, 0.1822, 0.9547)
S (0.0000, 0.8178, 0.0453)
S (0.7559, 0.0906, 0.1462)